VI2F GGA+U relaxed; crystal system = tetragonal; space-group type = I-42d, No. 122; polymorph energy (0 for the lowest one) = 40 meV per atom; DOS at the Fermi energy = 0.73 states/eV per cell
1.0
-5.777 4.338 0.601
-2.434 -2.355 -6.409
-6.313 -2.228 -0.883
F I V
2 4 2
direct
0.250 0.750 0.500 F
0.500 0.500 0.000 F
0.103 0.625 0.250 I
0.875 0.897 0.750 I
0.647 0.125 0.250 I
0.375 0.353 0.750 I
0.750 0.250 0.500 V
0.000 0.000 0.000 V